FeBiAs2O8: optimized geometry, GGA+U.

Calculated values
SG   No. 119

Lattice parameters (Å, degrees): 5.927 5.927 5.927 106.11 106.11 116.43
Fractional coordinates of all 12 atoms:
1 Fe 0.000 0.000 0.000
2 Bi 0.250 0.750 0.500
3 As 0.500 0.500 0.000
4 As 0.750 0.250 0.500
5 O 0.306 0.134 0.828
6 O 0.306 0.478 0.172
7 O 0.387 0.077 0.310
8 O 0.522 0.694 0.828
9 O 0.767 0.077 0.690
10 O 0.866 0.694 0.172
11 O 0.923 0.233 0.310
12 O 0.923 0.613 0.690

FeBiAsO: optimized geometry, GGA+U.

Calculated values
SG   No. 129

Lattice parameters (Å, degrees): 4.020 4.020 9.376 90.00 90.00 90.00
Fractional coordinates of all 8 atoms:
1 Fe 0.250 0.750 0.000
2 Fe 0.750 0.250 0.000
3 Bi 0.250 0.250 0.368
4 Bi 0.750 0.750 0.632
5 As 0.250 0.250 0.821
6 As 0.750 0.750 0.179
7 O 0.250 0.750 0.500
8 O 0.750 0.250 0.500

FeBiAs2O6: optimized geometry, GGA+U.

Calculated values
SG   No. 15

Lattice parameters (Å, degrees): 6.627 6.627 6.581 100.34 100.34 99.93
Fractional coordinates of all 20 atoms:
1 Fe 0.221 0.779 0.750
2 Fe 0.779 0.221 0.250
3 Bi 0.393 0.607 0.250
4 Bi 0.607 0.393 0.750
5 As 0.082 0.246 0.768
6 As 0.246 0.082 0.268
7 As 0.754 0.918 0.732
8 As 0.918 0.754 0.232
9 O 0.100 0.670 0.420
10 O 0.105 0.253 0.153
11 O 0.253 0.105 0.653
12 O 0.274 0.493 0.864
13 O 0.330 0.900 0.080
14 O 0.493 0.274 0.364
15 O 0.507 0.726 0.636
16 O 0.670 0.100 0.920
17 O 0.726 0.507 0.136
18 O 0.747 0.895 0.347
19 O 0.895 0.747 0.847
20 O 0.900 0.330 0.580

| no. | total DFT energy (no corrections) (hartree per atom) |
| --- | --- |
| 1 | -0.2228 |
| 2 | -0.1887 |
| 3 | -0.2204 |